The following is a PBE-GGA calculation of crystalline Ca2InGe2 at its relaxed geometry, from Alexandria via LeMat-Bulk.

As for the symmetry: I4/mmm. For the size of the total moment, the calculation gives 0.001 μB/cell. The total energy comes out at -17.37 eV for the cell shown. The density of states at the Fermi level is 1.075 states/eV per atom.

Cell lengths 3.775, 3.775, 9.790 Å; angles 78.88, 78.88, 90.00 degrees
Positions (direct):
Ge (0.750, 0.250, 0.500)
Ge (0.250, 0.750, 0.500)
Ca (0.385, 0.385, 0.230)
Ca (0.615, 0.615, 0.770)
In (0.000, 0.000, 0.000)